# Ta2PW | Alexandria | PBEsol | relaxed
data_Ta2PW
_chemical_formula_sum 'Ta2 P1 W1'
_cell_length_a 2.874
_cell_length_b 2.874
_cell_length_c 7.665
_cell_angle_alpha 90.00
_cell_angle_beta 90.00
_cell_angle_gamma 90.00
_symmetry_space_group_name_H-M 'P 1'
_symmetry_Int_Tables_number 1
_symmetry_space_group_name_Hall 'P 1'
loop_
_atom_site_label
_atom_site_fract_x
_atom_site_fract_y
_atom_site_fract_z
Ta1 0.000 0.000 0.207
Ta2 0.000 0.000 0.793
P1 0.500 0.500 0.000
W1 0.500 0.500 0.500
# ΔH_f (0 K), eV/atom: 0.0076
# Space-group type: No. 123
# Energy, eV per atom: -11.168
# Calculated volume, Å³/cell: 63.3
# Theoretical density, g/cm³: 15.13
# Magnetization, μB per atom: 0.00
# Crystal system: tetragonal